Material: CaSc2Pd2
Method: DFT, PBE
State: relaxed

```
CaSc2Pd2
1.0
8.184 0.000 0.000
0.000 8.184 0.000
0.000 0.000 3.066
Ca Sc Pd
2 4 4
Direct
0.000 0.000 0.000 Ca
0.500 0.500 0.000 Ca
0.135 0.365 0.000 Sc
0.365 0.865 0.000 Sc
0.635 0.135 0.000 Sc
0.865 0.635 0.000 Sc
0.160 0.660 0.500 Pd
0.340 0.160 0.500 Pd
0.660 0.840 0.500 Pd
0.840 0.340 0.500 Pd
```

Formation energy (meV per atom): -596
Fermi-level density of states (states/eV/atom): 0.359
E above lowest polymorph (eV/f.u.): 0.232
Spin magnetization (μB per atom): 0.00
ρ (kg/m3): 5544
Energy (eV per cell): -56.06

=====

Material: Ca2ScPd2
Method: DFT, PBE
State: relaxed

```
Ca2ScPd2
1.0
-2.170 2.170 6.427
2.170 -2.170 6.427
2.170 2.170 -6.427
Ca Sc Pd
2 1 2
Direct
0.250 0.750 0.500 Ca
0.750 0.250 0.500 Ca
0.000 0.000 0.000 Sc
0.400 0.400 0.000 Pd
0.600 0.600 0.000 Pd
```

Formation energy (meV per atom): -216
Fermi-level density of states (states/eV/atom): 0.804
E above lowest polymorph (eV/f.u.): 1.917
Spin magnetization (μB per atom): 0.00
ρ (kg/m3): 4634
Energy (eV per cell): -21.80

=====

Number 2 is which compound? Ca2ScPd2